[1]
VASP calculation (PBE-GGA) on crystalline PrYTm2 at its relaxed geometry.

Output
DFT formation energy   0.007 eV/atom
V   32.0 Å³/atom
Fermi-level density of states   5.48 states/eV/f.u.
Total DFT energy (no corrections)   -0.3704 Ry/atom
E above lowest polymorph   0.000 eV/atom

```
4
Lattice="3.587 0.000 0.000 -1.793 3.106 0.000 0.000 0.000 11.480" Properties=species:S:1:pos:R:3 pbc="T T T"
Pr 0.000 0.000 0.000
Y 0.000 0.000 5.740
Tm 0.000 2.071 8.579
Tm 1.793 1.035 2.902
```

[2]
VASP calculation (PBE-GGA) on crystalline Pr2Y4Tm at its relaxed geometry.

Output
DFT formation energy   0.008 eV/atom
V   33.3 Å³/atom
Fermi-level density of states   12.18 states/eV/f.u.
Total DFT energy (no corrections)   -0.4182 Ry/atom
E above lowest polymorph   0.000 eV/atom

```
7
Lattice="3.157 -1.823 0.000 3.157 1.823 0.000 -2.107 0.000 20.223" Properties=species:S:1:pos:R:3 pbc="T T T"
Pr 0.000 0.000 0.000
Pr -0.003 0.000 5.898
Y -0.002 0.000 11.694
Y 0.001 0.000 17.276
Y 4.206 0.000 2.920
Y 4.205 0.000 8.857
Tm 4.211 0.000 14.484
```

[3]
VASP calculation (PBE-GGA) on crystalline Pr2YTm4 at its relaxed geometry.

Output
DFT formation energy   0.268 eV/atom
V   33.1 Å³/atom
Fermi-level density of states   13.15 states/eV/f.u.
Total DFT energy (no corrections)   -0.3364 Ry/atom
E above lowest polymorph   0.196 eV/atom

```
14
Lattice="-4.874 4.874 4.881 4.874 -4.874 4.881 4.874 4.874 -4.881" Properties=species:S:1:pos:R:3 pbc="T T T"
Pr 2.437 1.256 -1.220
Pr 3.617 -2.437 6.102
Pr 2.437 3.617 3.661
Pr 1.256 7.311 1.220
Y 4.874 0.000 2.441
Y 0.000 0.000 4.881
Tm 5.675 1.623 -0.428
Tm 3.251 4.073 -2.868
Tm 1.623 0.801 2.013
Tm 1.623 4.073 0.428
Tm 3.251 0.801 5.309
Tm 5.675 3.251 2.868
Tm -0.801 3.251 4.454
Tm -0.801 1.623 7.750
```

[4]
VASP calculation (PBE-GGA) on crystalline Pr7Y2Tm3 at its relaxed geometry.

Output
DFT formation energy   0.095 eV/atom
V   34.3 Å³/atom
Fermi-level density of states   17.42 states/eV/f.u.
Total DFT energy (no corrections)   -0.3593 Ry/atom
E above lowest polymorph   0.026 eV/atom

```
12
Lattice="5.902 0.000 0.000 0.000 3.640 0.000 -1.390 0.000 19.161" Properties=species:S:1:pos:R:3 pbc="T T T"
Pr 0.000 0.000 0.000
Pr 0.765 1.820 3.542
Pr 0.783 1.820 10.236
Pr 0.765 0.000 16.389
Pr 3.747 0.000 2.773
Pr 3.728 1.820 8.925
Pr 3.747 1.820 15.619
Y 0.772 1.820 13.434
Y 3.740 1.820 5.727
Tm 0.766 0.000 7.059
Tm 2.951 1.820 0.000
Tm 3.746 0.000 12.103
```

Repeat the second record exactly.
VASP calculation (PBE-GGA) on crystalline Pr2Y4Tm at its relaxed geometry.

Output
DFT formation energy   0.008 eV/atom
V   33.3 Å³/atom
Fermi-level density of states   12.18 states/eV/f.u.
Total DFT energy (no corrections)   -0.4182 Ry/atom
E above lowest polymorph   0.000 eV/atom

```
7
Lattice="3.157 -1.823 0.000 3.157 1.823 0.000 -2.107 0.000 20.223" Properties=species:S:1:pos:R:3 pbc="T T T"
Pr 0.000 0.000 0.000
Pr -0.003 0.000 5.898
Y -0.002 0.000 11.694
Y 0.001 0.000 17.276
Y 4.206 0.000 2.920
Y 4.205 0.000 8.857
Tm 4.211 0.000 14.484
```

What did the second record say?
VASP calculation (PBE-GGA) on crystalline Pr2Y4Tm at its relaxed geometry.

Output
DFT formation energy   0.008 eV/atom
V   33.3 Å³/atom
Fermi-level density of states   12.18 states/eV/f.u.
Total DFT energy (no corrections)   -0.4182 Ry/atom
E above lowest polymorph   0.000 eV/atom

```
7
Lattice="3.157 -1.823 0.000 3.157 1.823 0.000 -2.107 0.000 20.223" Properties=species:S:1:pos:R:3 pbc="T T T"
Pr 0.000 0.000 0.000
Pr -0.003 0.000 5.898
Y -0.002 0.000 11.694
Y 0.001 0.000 17.276
Y 4.206 0.000 2.920
Y 4.205 0.000 8.857
Tm 4.211 0.000 14.484
```